Record 1
# TcPdCl3 (PBE, relaxed)
# relative energy among the computed polymorphs: 222.6 meV per atom
# space-group type: No. 221
data_TcPdCl3
_chemical_formula_sum 'Tc1 Pd1 Cl3'
_symmetry_space_group_name_H-M 'P 1'
_symmetry_Int_Tables_number 1
_cell_length_a 4.889
_cell_length_b 4.889
_cell_length_c 4.889
_cell_angle_alpha 90.00
_cell_angle_beta 90.00
_cell_angle_gamma 90.00
loop_
_symmetry_equiv_pos_as_xyz
'x,y,z'
loop_
_atom_site_label
_atom_site_type_symbol
_atom_site_fract_x
_atom_site_fract_y
_atom_site_fract_z
_atom_site_occupancy
Tc1 Tc 0.000 0.000 0.000 1
Pd1 Pd 0.500 0.500 0.500 1
Cl1 Cl 0.000 0.500 0.500 1
Cl2 Cl 0.500 0.000 0.500 1
Cl3 Cl 0.500 0.500 0.000 1

---

Record 2
# MoPt7 (PBE, relaxed)
# relative energy among the computed polymorphs: 70.2 meV per atom
# space-group type: No. 225
data_MoPt7
_chemical_formula_sum 'Mo1 Pt7'
_symmetry_space_group_name_H-M 'P 1'
_symmetry_Int_Tables_number 1
_cell_length_a 5.613
_cell_length_b 5.613
_cell_length_c 5.613
_cell_angle_alpha 60.00
_cell_angle_beta 60.00
_cell_angle_gamma 60.00
loop_
_symmetry_equiv_pos_as_xyz
'x,y,z'
loop_
_atom_site_label
_atom_site_type_symbol
_atom_site_fract_x
_atom_site_fract_y
_atom_site_fract_z
_atom_site_occupancy
Mo1 Mo 0.000 0.000 0.000 1
Pt1 Pt 0.000 0.000 0.500 1
Pt2 Pt 0.000 0.500 0.000 1
Pt3 Pt 0.000 0.500 0.500 1
Pt4 Pt 0.500 0.000 0.000 1
Pt5 Pt 0.500 0.000 0.500 1
Pt6 Pt 0.500 0.500 0.000 1
Pt7 Pt 0.500 0.500 0.500 1

---

Record 3
# V2HPtW (PBE, relaxed)
# relative energy among the computed polymorphs: 67.3 meV per atom
# space-group type: No. 123
data_V2HPtW
_chemical_formula_sum 'V2 H1 Pt1 W1'
_symmetry_space_group_name_H-M 'P 1'
_symmetry_Int_Tables_number 1
_cell_length_a 4.027
_cell_length_b 4.027
_cell_length_c 3.733
_cell_angle_alpha 90.00
_cell_angle_beta 90.00
_cell_angle_gamma 90.00
loop_
_symmetry_equiv_pos_as_xyz
'x,y,z'
loop_
_atom_site_label
_atom_site_type_symbol
_atom_site_fract_x
_atom_site_fract_y
_atom_site_fract_z
_atom_site_occupancy
V1 V 0.000 0.500 0.000 1
V2 V 0.500 0.000 0.000 1
H1 H 0.000 0.000 0.000 1
Pt1 Pt 0.000 0.000 0.500 1
W1 W 0.500 0.500 0.500 1

---

Record 4
# TbTc2O6 (PBE, relaxed)
# E_tot: -0.2937 hartree per atom
# space-group type: No. 12
data_TbTc2O6
_chemical_formula_sum 'Tb1 Tc2 O6'
_symmetry_space_group_name_H-M 'P 1'
_symmetry_Int_Tables_number 1
_cell_length_a 5.445
_cell_length_b 5.445
_cell_length_c 7.009
_cell_angle_alpha 117.75
_cell_angle_beta 117.75
_cell_angle_gamma 41.78
loop_
_symmetry_equiv_pos_as_xyz
'x,y,z'
loop_
_atom_site_label
_atom_site_type_symbol
_atom_site_fract_x
_atom_site_fract_y
_atom_site_fract_z
_atom_site_occupancy
Tb1 Tb 0.000 0.000 0.000 1
Tc1 Tc 0.178 0.178 0.607 1
Tc2 Tc 0.822 0.822 0.393 1
O1 O 0.019 0.019 0.682 1
O2 O 0.284 0.284 0.422 1
O3 O 0.349 0.349 0.896 1
O4 O 0.651 0.651 0.104 1
O5 O 0.716 0.716 0.578 1
O6 O 0.981 0.981 0.318 1